[1]
{
  "formula": "InMo6Se4S4",
  "functional": "PBE-GGA",
  "state": "optimized geometry",
  "lattice_angstrom": [[6.750, -0.091, -0.075], [-0.123, 6.692, 0.114], [-0.077, 0.111, 6.810]],
  "species": ["Mo", "Mo", "Mo", "Mo", "Mo", "Mo", "S", "S", "S", "S", "Se", "Se", "Se", "Se", "In"],
  "fractional_positions": [[0.414, 0.233, 0.554], [0.770, 0.446, 0.585], [0.446, 0.586, 0.763], [0.228, 0.560, 0.414], [0.556, 0.424, 0.232], [0.584, 0.764, 0.438], [0.279, 0.867, 0.599], [0.870, 0.621, 0.272], [0.238, 0.255, 0.241], [0.766, 0.754, 0.752], [0.619, 0.252, 0.883], [0.375, 0.752, 0.110], [0.750, 0.129, 0.382], [0.124, 0.371, 0.745], [0.983, 0.987, 0.031]],
  "raw_formation_energy_mev_per_atom": -580
}


[2]
{
  "formula": "Rb2PI6N",
  "functional": "PBE-GGA",
  "state": "optimized geometry",
  "lattice_angstrom": [[-4.691, 5.014, -3.438], [3.427, -1.407, -6.726], [-4.337, -2.360, -6.099]],
  "species": ["I", "I", "I", "I", "I", "I", "Rb", "Rb", "P", "N"],
  "fractional_positions": [[0.741, 0.259, 0.000], [0.741, 0.741, 0.000], [0.259, 0.259, 0.000], [0.750, 0.750, 0.499], [0.250, 0.250, 0.501], [0.259, 0.741, 0.000], [0.750, 0.250, 0.500], [0.250, 0.750, 0.500], [0.000, 0.000, 0.000], [0.500, 0.500, 0.000]],
  "raw_formation_energy_mev_per_atom": -131
}


[3]
{
  "formula": "CaPu2H8",
  "functional": "PBE-GGA",
  "state": "optimized geometry",
  "lattice_angstrom": [[3.601, 0.000, -1.096], [-0.755, 4.367, -2.480], [-0.011, 0.695, 6.426]],
  "species": ["H", "H", "H", "H", "H", "H", "H", "H", "Pu", "Pu", "Ca"],
  "fractional_positions": [[0.000, 0.718, 0.000], [0.657, 0.423, 0.314], [0.343, 0.577, 0.686], [0.000, 0.282, 0.000], [0.657, 0.891, 0.314], [0.814, 0.814, 0.629], [0.186, 0.186, 0.371], [0.343, 0.109, 0.686], [0.822, 0.322, 0.643], [0.178, 0.678, 0.357], [0.500, 0.000, 0.000]],
  "total_energy_ev_per_atom": -5.674
}